Density functional theory data (GGA-PBE) for a relaxed structure of La2I2NCl.

E_form (uncorrected) (eV/atom): -1.66
SG: Pmc2_1

Unit cell a=4.241 b=12.122 c=7.920 alpha=90.00 beta=90.00 gamma=90.00
Atoms (fractional coordinates):
La1 0.000 0.054 0.000
La2 0.000 0.946 0.500
La3 0.500 0.208 0.370
La4 0.500 0.792 0.870
I1 0.000 0.386 0.519
I2 0.000 0.614 0.019
I3 0.500 0.270 0.981
I4 0.500 0.730 0.481
N1 0.000 0.100 0.327
N2 0.000 0.900 0.827
Cl1 0.500 0.070 0.665
Cl2 0.500 0.930 0.165